! Pm3Sc2Ga3 | Alexandria via LeMat-Bulk | PBE | optimized geometry; values from VASP
! - Formation enthalpy at 0 K: -3.5 eV/f.u.
! - Total magnetization: 0.0000 μB per atom
&SYSTEM
  ibrav = 0, nat = 8, ntyp = 3
/
ATOMIC_SPECIES
Pm 145.00 Pm.upf
Sc 44.96 Sc.upf
Ga 69.72 Ga.upf
ATOMIC_POSITIONS angstrom
Pm 1.8041 2.5904 2.5636
Pm 0.0000 0.0000 8.0117
Pm 1.8041 0.0000 0.0000
Sc 1.8041 0.0000 4.9447
Sc 0.0000 2.5904 5.6306
Ga 0.0000 0.0000 2.7451
Ga 0.0000 2.5904 0.0000
Ga 1.8041 2.5904 7.8302
CELL_PARAMETERS angstrom
3.6083 0.0000 0.0000
0.0000 5.1807 0.0000
-1.8041 -2.5904 10.5753